Entry 1:
! Li6NiOF6 | the Alexandria database | meta-GGA SCAN | single point on PBEsol structure; values from VASP
&SYSTEM
  ibrav = 0, nat = 14, ntyp = 4
/
ATOMIC_SPECIES
Li 6.94 Li.upf
Ni 58.69 Ni.upf
O 16.00 O.upf
F 19.00 F.upf
ATOMIC_POSITIONS crystal
Li 0.426 0.426 0.853
Li 0.574 0.574 0.147
Li 0.854 0.854 0.709
Li 0.146 0.146 0.291
Li 0.285 0.285 0.570
Li 0.715 0.715 0.430
Ni 0.000 0.000 0.000
O 0.500 0.500 0.000
F 0.924 0.924 0.848
F 0.076 0.076 0.152
F 0.355 0.355 0.710
F 0.645 0.645 0.290
F 0.785 0.785 0.570
F 0.215 0.215 0.430
CELL_PARAMETERS angstrom
-0.334 2.467 -1.324
-1.824 -1.203 -1.782
-9.729 2.651 10.399
! - magnetization (μB per formula unit) = 2.0
! - symmetry = No. 139
! - total DFT energy (no corrections) (eV per atom) = -6.995
! - raw formation energy (eV per atom) = -2.85
! - distance to the lowest polymorph of the same formula (meV per atom) = 0

***

Entry 2:
! Li7NiO4F2 | the Alexandria database | meta-GGA SCAN | single point on PBEsol structure; values from VASP
&SYSTEM
  ibrav = 0, nat = 28, ntyp = 4
/
ATOMIC_SPECIES
Li 6.94 Li.upf
Ni 58.69 Ni.upf
O 16.00 O.upf
F 19.00 F.upf
ATOMIC_POSITIONS crystal
Li 0.955 0.708 0.206
Li 0.488 0.646 0.753
Li 0.505 0.592 0.389
Li 0.074 0.186 0.141
Li 0.996 0.361 0.445
Li 0.493 0.310 0.983
Li 0.999 0.971 0.645
Li 0.489 0.718 0.085
Li 0.027 0.881 0.420
Li 0.989 0.595 0.926
Li 0.499 0.339 0.615
Li 0.568 0.167 0.286
Li 0.010 0.385 0.731
Li 0.512 0.005 0.845
Ni 0.986 0.023 0.925
Ni 0.517 0.949 0.513
O 0.752 0.759 0.387
O 0.704 0.265 0.800
O 0.761 0.866 0.023
O 0.332 0.719 0.559
O 0.294 0.720 0.926
O 0.715 0.184 0.466
O 0.174 0.231 0.932
O 0.254 0.166 0.616
F 0.174 0.343 0.261
F 0.687 0.348 0.134
F 0.235 0.826 0.238
F 0.813 0.737 0.748
CELL_PARAMETERS angstrom
5.190 -0.016 0.063
2.326 5.158 -0.099
0.701 2.329 9.309
! - magnetization (μB per formula unit) = 1.0
! - symmetry = No. 1
! - total DFT energy (no corrections) (eV per atom) = -6.784
! - raw formation energy (eV per atom) = -2.15